A relaxed PrSm2Dy9 crystal. Source: Alexandria, functional PBE.

For the density of states at the Fermi level, the calculation gives 17.36 states/eV/cell. The value obtained for the relative energy among the computed polymorphs is 0.000 eV per atom. The total energy is -55.391 eV/cell.

It has space group P4/mmm (No. 123), with a = 5.048 Å, b = 5.048 Å, c = 15.139 Å, α = 90.00°, β = 90.00° and γ = 90.00°. The asymmetric unit holds Pr at (0.000, 0.000, 0.000), Sm at (0.000, 0.000, 0.334), Dy at (0.000, 0.500, 0.168), Dy at (0.000, 0.500, 0.500), Dy at (0.500, 0.500, 0.000) and Dy at (0.500, 0.500, 0.334).